# PBE-GGA LiSnAu, relaxed
# Polymorph energy (0 for the lowest one), meV per atom: 152
# Calculated formation energy, eV per atom: -0.27
data_LiSnAu
_chemical_formula_sum 'Li1 Sn1 Au1'
_cell_length_a 3.439
_cell_length_b 3.896
_cell_length_c 4.559
_cell_angle_alpha 90.00
_cell_angle_beta 90.39
_cell_angle_gamma 90.00
_space_group_name_H-M_alt 'P 1 2/m 1'
_space_group_IT_number 10
_space_group_name_Hall '-P 2y'
loop_
_atom_site_label
_atom_site_type_symbol
_atom_site_fract_x
_atom_site_fract_y
_atom_site_fract_z
Li1 Li 0.000 0.000 0.000
Sn1 Sn 0.500 0.000 0.500
Au1 Au 0.500 0.500 0.000



# PBE-GGA As3WC, relaxed
# Polymorph energy (0 for the lowest one), meV per atom: 0
# Calculated formation energy, eV per atom: 1.36
data_As3WC
_chemical_formula_sum 'As3 W1 C1'
_cell_length_a 4.245
_cell_length_b 4.245
_cell_length_c 4.245
_cell_angle_alpha 90.00
_cell_angle_beta 90.00
_cell_angle_gamma 90.00
_space_group_name_H-M_alt 'P m -3 m'
_space_group_IT_number 221
_space_group_name_Hall '-P 4 2 3'
loop_
_atom_site_label
_atom_site_type_symbol
_atom_site_fract_x
_atom_site_fract_y
_atom_site_fract_z
As1 As 0.000 0.000 0.500
W1 W 0.500 0.500 0.500
C1 C 0.000 0.000 0.000



# PBE-GGA SrCo2Ir, relaxed
# Calculated formation energy, eV per atom: 0.52
data_SrCo2Ir
_chemical_formula_sum 'Sr2 Co4 Ir2'
_cell_length_a 2.930
_cell_length_b 4.827
_cell_length_c 9.519
_cell_angle_alpha 90.00
_cell_angle_beta 90.00
_cell_angle_gamma 90.00
_space_group_name_H-M_alt 'I m m 2'
_space_group_IT_number 44
_space_group_name_Hall 'I 2 -2'
loop_
_atom_site_label
_atom_site_type_symbol
_atom_site_fract_x
_atom_site_fract_y
_atom_site_fract_z
Sr1 Sr 0.000 0.000 0.000
Co1 Co 0.000 0.000 0.488
Co2 Co 0.000 0.500 0.790
Ir1 Ir 0.000 0.500 0.210



# PBE-GGA La2CuTe4, relaxed
# Formation energy (no corrections), eV per atom: -1.18
data_La2CuTe4
_chemical_formula_sum 'La4 Cu2 Te8'
_cell_length_a 7.765
_cell_length_b 6.356
_cell_length_c 9.020
_cell_angle_alpha 90.00
_cell_angle_beta 106.93
_cell_angle_gamma 90.00
_space_group_name_H-M_alt 'P 1 21/m 1'
_space_group_IT_number 11
_space_group_name_Hall '-P 2yb'
loop_
_atom_site_label
_atom_site_type_symbol
_atom_site_fract_x
_atom_site_fract_y
_atom_site_fract_z
La1 La 0.230 0.250 0.435
La2 La 0.241 0.250 0.932
Cu1 Cu 0.226 0.750 0.682
Te1 Te 0.079 0.750 0.901
Te2 Te 0.081 0.750 0.389
Te3 Te 0.492 0.504 0.249



# PBE-GGA BaCaAc2Tl4, relaxed
# Calculated formation energy, eV per atom: -0.37
data_BaCaAc2Tl4
_chemical_formula_sum 'Ba3 Ca3 Ac6 Tl12'
_cell_length_a 5.8167
_cell_length_b 5.8167
_cell_length_c 28.7900
_cell_angle_alpha 90.00
_cell_angle_beta 90.00
_cell_angle_gamma 120.00
_space_group_name_H-M_alt 'R -3 m'
_space_group_IT_number 166
_space_group_name_Hall '-R 3 2"'
loop_
_atom_site_label
_atom_site_type_symbol
_atom_site_fract_x
_atom_site_fract_y
_atom_site_fract_z
Ba1 Ba 0.0000 0.0000 0.0000
Ca1 Ca 0.0000 0.0000 0.5000
Ac1 Ac 0.0000 0.0000 0.2466
Tl1 Tl 0.0000 0.0000 0.1272
Tl2 Tl 0.0000 0.0000 0.3789



# PBE-GGA TaSi4Ag, relaxed
# Formation energy (no corrections), eV per atom: 0.33
data_TaSi4Ag
_chemical_formula_sum 'Ta4 Si16 Ag4'
_cell_length_a 7.074
_cell_length_b 7.074
_cell_length_c 7.074
_cell_angle_alpha 90.00
_cell_angle_beta 90.00
_cell_angle_gamma 90.00
_space_group_name_H-M_alt 'F -4 3 m'
_space_group_IT_number 216
_space_group_name_Hall 'F -4 2 3'
loop_
_atom_site_label
_atom_site_type_symbol
_atom_site_fract_x
_atom_site_fract_y
_atom_site_fract_z
Ta1 Ta 0.000 0.000 0.000
Si1 Si 0.125 0.125 0.625
Ag1 Ag 0.250 0.250 0.250



| no. | size of the total moment (μB per cell) |
| --- | --- |
| 1 | 0.0 |
| 2 | 0.0 |
| 3 | 8.0 |
| 4 | 0.0 |
| 5 | 0.0 |
| 6 | 0.0 |